(1)
3
Lattice="0.000 3.134 3.134 3.134 0.000 3.134 3.134 3.134 0.000" Properties=species:S:1:pos:R:3 comment="PBE ZrMnSi, relaxed" sg="No. 216" raw_formation_energy_ev_per_atom=0.49 e_tot_ev_per_atom=-7.225 n_ef_per_ev_atom=1.35 total_magnetization_mub_per_cell=3.47 pbc="T T T"
Zr 0.000 0.000 0.000
Mn 4.701 4.701 4.701
Si 1.567 1.567 1.567

(2)
3
Lattice="4.470 0.000 0.000 -2.235 3.871 0.000 0.000 0.000 2.924" Properties=species:S:1:pos:R:3 comment="PBE SbRuW, relaxed" sg="No. 187" raw_formation_energy_ev_per_atom=0.39 e_tot_ev_per_atom=-8.395 n_ef_per_ev_atom=0.80 relative_energy_ev_per_atom=0.192 total_magnetization_mub_per_cell=0.00 pbc="T T T"
Sb 0.000 0.000 0.000
Ru 2.235 1.290 0.000
W 0.000 2.581 1.462

(3)
80
Lattice="-8.445 8.445 8.445 8.445 -8.445 8.445 8.445 8.445 -8.445" Properties=species:S:1:pos:R:3 comment="PBE Pm3Er5Se12, relaxed" sg="No. 230" raw_formation_energy_ev_per_atom=-1.70 e_tot_ev_per_atom=-5.649 n_ef_per_ev_atom=0.00 total_magnetization_mub_per_cell=0.00 pbc="T T T"
Pm 4.222 2.111 0.000
Pm 8.445 4.222 -2.111
Pm 2.111 0.000 4.222
Pm 10.556 0.000 4.222
Pm 0.000 4.222 2.111
Pm 4.222 -2.111 8.445
Pm 4.222 10.556 0.000
Pm 8.445 4.222 6.333
Pm -2.111 8.445 4.222
Pm 6.333 8.445 4.222
Pm 0.000 4.222 10.556
Pm 4.222 6.333 8.445
Er 0.000 0.000 0.000
Er 4.222 4.222 -4.222
Er 4.222 -4.222 4.222
Er 8.445 0.000 0.000
Er 12.667 2.111 0.000
Er 8.445 -4.222 6.333
Er 6.333 8.445 -4.222
Er 6.333 0.000 4.222
Er 4.222 6.333 0.000
Er 8.445 4.222 2.111
Er -4.222 4.222 4.222
Er 0.000 8.445 0.000
Er 0.000 0.000 8.445
Er 4.222 4.222 4.222
Er 0.000 4.222 6.333
Er 4.222 2.111 8.445
Er 2.111 8.445 4.222
Er 2.111 0.000 12.667
Er 0.000 12.667 2.111
Er -4.222 6.333 8.445
Se 2.567 -0.383 1.159
Se 10.100 5.381 -4.605
Se 8.062 -1.159 2.567
Se 13.049 -1.655 3.063
Se 11.011 0.383 1.159
Se 10.100 -3.063 4.605
Se 1.159 2.567 -0.383
Se 11.508 3.840 -1.655
Se 5.381 4.605 -1.655
Se 7.285 2.567 0.383
Se -0.383 1.159 2.567
Se 4.605 -1.655 5.381
Se 8.062 7.285 -2.567
Se 4.605 1.655 3.063
Se 7.285 -2.567 8.062
Se 5.381 -4.605 10.100
Se 3.063 4.605 1.655
Se 9.604 5.878 0.383
Se 2.567 8.062 -1.159
Se 10.100 3.063 3.840
Se 4.605 10.100 -3.063
Se 8.062 1.159 5.878
Se 1.655 3.063 4.605
Se 2.567 0.383 7.285
Se 5.878 8.062 1.159
Se 6.789 5.381 3.840
Se 0.383 7.285 2.567
Se 3.840 -1.655 11.508
Se -1.655 5.381 4.605
Se 5.878 0.383 9.604
Se -1.159 2.567 8.062
Se 5.381 3.840 6.789
Se 3.063 13.049 -1.655
Se 1.159 11.011 0.383
Se 3.840 6.789 5.381
Se 0.383 1.159 11.011
Se 3.840 10.100 3.063
Se 8.827 7.285 5.878
Se 1.159 5.878 8.062
Se 3.063 3.840 10.100
Se -3.063 4.605 10.100
Se 7.285 5.878 8.827
Se -1.655 11.508 3.840
Se -2.567 8.062 7.285
Se -4.605 10.100 5.381
Se 0.383 9.604 5.878
Se -1.655 3.063 13.049
Se 5.878 8.827 7.285

(4)
4
Lattice="2.774 0.000 0.000 0.000 4.918 0.000 0.000 0.000 5.272" Properties=species:S:1:pos:R:3 comment="PBE Mg2AgMo, relaxed" sg="No. 25" e_form_ev_per_atom=0.279 e_tot_ev_per_atom=-3.939 n_ef_per_ev_atom=0.57 relative_energy_ev_per_atom=0.168 total_magnetization_mub_per_cell=0.00 pbc="T T T"
Mg 0.000 0.000 0.000
Mg 0.000 2.459 1.801
Ag 1.387 0.000 2.754
Mo 1.387 2.459 4.436

(5)
15
Lattice="4.715 2.722 6.806 -4.715 2.722 6.806 0.000 -5.444 6.806" Properties=species:S:1:pos:R:3 comment="PBE AcTb8Pr6, relaxed" sg="No. 148" e_form_ev_per_atom=0.160 e_tot_ev_per_atom=-4.496 n_ef_per_ev_atom=1.42 relative_energy_ev_per_atom=0.000 total_magnetization_mub_per_cell=0.00 pbc="T T T"
Ac 0.000 0.000 0.000
Tb -3.256 -1.186 10.238
Tb -0.601 -3.413 10.180
Tb -2.655 2.227 10.180
Tb 0.000 0.000 8.779
Tb 0.000 0.000 11.639
Tb 2.655 -2.227 10.238
Tb 0.601 3.413 10.238
Tb 3.256 1.186 10.180
Pr -2.092 0.326 6.293
Pr 0.764 -1.975 6.293
Pr -1.329 -1.649 14.125
Pr 1.329 1.649 6.293
Pr -0.764 1.975 14.125
Pr 2.092 -0.326 14.125

(6)
5
Lattice="4.734 0.000 0.000 0.000 4.734 0.000 0.000 0.000 4.734" Properties=species:S:1:pos:R:3 comment="PBE NaAlP3, relaxed" sg="No. 221" e_form_ev_per_atom=0.387 e_tot_ev_per_atom=-3.872 n_ef_per_ev_atom=0.72 relative_energy_ev_per_atom=0.000 total_magnetization_mub_per_cell=0.00 pbc="T T T"
Na 0.000 0.000 0.000
Al 2.367 2.367 2.367
P 0.000 2.367 2.367
P 2.367 0.000 2.367
P 2.367 2.367 0.000

(7)
8
Lattice="-3.362 3.362 2.702 3.362 -3.362 2.702 3.362 3.362 -2.702" Properties=species:S:1:pos:R:3 comment="PBE Mn2SiAs, relaxed" sg="No. 122" raw_formation_energy_ev_per_atom=0.22 e_tot_ev_per_atom=-6.879 n_ef_per_ev_atom=0.80 total_magnetization_mub_per_cell=12.00 pbc="T T T"
Mn 1.681 1.617 -0.676
Mn 1.746 -1.681 3.378
Mn 1.681 1.746 2.027
Mn 1.617 5.043 0.676
Si 0.000 0.000 0.000
Si 0.000 3.362 1.351
As 3.362 0.000 1.351
As 0.000 0.000 2.702

(8)
5
Lattice="6.660 0.000 0.000 0.000 6.660 0.000 0.000 0.000 6.660" Properties=species:S:1:pos:R:3 comment="PBE KSr3I, relaxed" sg="No. 221" raw_formation_energy_ev_per_atom=-0.17 e_tot_ev_per_atom=-1.711 n_ef_per_ev_atom=1.65 relative_energy_ev_per_atom=0.000 total_magnetization_mub_per_cell=0.20 pbc="T T T"
K 0.000 0.000 0.000
Sr 0.000 3.330 3.330
Sr 3.330 0.000 3.330
Sr 3.330 3.330 0.000
I 3.330 3.330 3.330

(9)
28
Lattice="7.901 0.000 0.000 0.000 4.812 0.000 0.000 0.000 9.998" Properties=species:S:1:pos:R:3 comment="PBE TbZnNi5, relaxed" sg="No. 62" e_form_ev_per_atom=-0.309 e_tot_ev_per_atom=-5.281 n_ef_per_ev_atom=1.33 total_magnetization_mub_per_cell=2.24 pbc="T T T"
Tb 1.931 1.203 0.593
Tb 2.020 3.609 5.592
Tb 5.881 1.203 4.406
Tb 5.970 3.609 9.406
Zn 1.113 3.609 8.582
Zn 2.838 1.203 3.583
Zn 5.063 3.609 6.416
Zn 6.788 1.203 1.417
Ni 0.421 3.609 0.982
Ni 0.530 0.019 3.085
Ni 0.530 2.387 3.085
Ni 0.747 1.203 5.175
Ni 1.469 1.203 7.497
Ni 2.481 3.609 2.497
Ni 3.204 3.609 0.175
Ni 3.421 2.425 8.084
Ni 3.421 4.793 8.084
Ni 3.530 1.203 5.981
Ni 4.372 3.609 4.018
Ni 4.480 0.019 1.914
Ni 4.480 2.387 1.914
Ni 4.697 1.203 9.823
Ni 5.420 1.203 7.501
Ni 6.432 3.609 2.502
Ni 7.154 3.609 4.824
Ni 7.372 2.425 6.913
Ni 7.372 4.793 6.913
Ni 7.480 1.203 9.017

(10)
5
Lattice="5.154 0.000 0.000 0.000 5.154 0.000 0.000 0.000 4.766" Properties=species:S:1:pos:R:3 comment="PBE Hf2TlIrRh, relaxed" sg="No. 123" e_form_ev_per_atom=1.714 e_tot_ev_per_atom=-5.983 n_ef_per_ev_atom=1.33 total_magnetization_mub_per_cell=0.94 pbc="T T T"
Hf 0.000 2.577 0.000
Hf 2.577 0.000 0.000
Tl 0.000 0.000 0.000
Ir 2.577 2.577 2.383
Rh 0.000 0.000 2.383

(11)
4
Lattice="0.000 3.300 3.300 3.300 0.000 3.300 3.300 3.300 0.000" Properties=species:S:1:pos:R:3 comment="PBE ErZrCoRh, relaxed" sg="No. 216" e_form_ev_per_atom=-0.509 e_tot_ev_per_atom=-7.401 n_ef_per_ev_atom=0.60 total_magnetization_mub_per_cell=0.00 pbc="T T T"
Er 0.000 0.000 0.000
Zr 3.300 3.300 3.300
Co 1.650 1.650 1.650
Rh 4.949 4.949 4.949

(12)
4
Lattice="-2.216 2.216 4.430 2.216 -2.216 4.430 2.216 2.216 -4.430" Properties=species:S:1:pos:R:3 comment="PBE ZrInCl2, relaxed" sg="No. 139" raw_formation_energy_ev_per_atom=-0.38 e_tot_ev_per_atom=-4.129 n_ef_per_ev_atom=0.46 relative_energy_ev_per_atom=0.661 total_magnetization_mub_per_cell=0.00 pbc="T T T"
Zr 0.000 0.000 0.000
In 0.000 0.000 4.430
Cl 2.216 0.000 2.215
Cl 0.000 2.216 2.215